Material: CsUTl2O8
Method: DFT, PBE
State: optimized geometry

Properties
Space group: P-1
Formation energy without anion corrections in meV per atom: -1432
Total energy in eV per atom: -6.143
V in Å³/cell: 231.4

```
data_CsUTl2O8
_chemical_formula_sum 'Cs1 U1 Tl2 O8'
_symmetry_space_group_name_H-M 'P 1'
_symmetry_Int_Tables_number 1
_symmetry_space_group_name_Hall 'P 1'
_cell_length_a 5.091
_cell_length_b 5.125
_cell_length_c 8.898
_cell_angle_alpha 88.72
_cell_angle_beta 89.79
_cell_angle_gamma 85.44
loop_
_atom_site_label
_atom_site_type_symbol
_atom_site_fract_x
_atom_site_fract_y
_atom_site_fract_z
_atom_site_occupancy
Cs1 Cs 0.000 0.000 0.500 1
Tl1 Tl 0.507 0.509 0.818 1
O1 O 0.200 0.801 0.818 1
O2 O 0.529 0.602 0.540 1
O3 O 0.199 0.794 0.187 1
O4 O 0.800 0.199 0.182 1
Tl2 Tl 0.493 0.491 0.182 1
O5 O 0.271 0.267 0.999 1
O6 O 0.801 0.206 0.813 1
U1 U 0.000 0.000 0.000 1
O7 O 0.471 0.398 0.460 1
O8 O 0.729 0.733 0.001 1
```

=====

Material: AlAsCl2
Method: DFT, PBE
State: optimized geometry

Properties
Energy relative to the lowest polymorph listed for this composition in kJ per mole of atoms: 17.1
Space group: Imm2
Formation energy without anion corrections in meV per atom: -443
Total energy in eV per atom: -3.464
V in Å³/cell: 117.4

```
data_AlAsCl2
_chemical_formula_sum 'Al1 As1 Cl2'
_symmetry_space_group_name_H-M 'P 1'
_symmetry_Int_Tables_number 1
_symmetry_space_group_name_Hall 'P 1'
_cell_length_a 7.419
_cell_length_b 7.419
_cell_length_c 7.419
_cell_angle_alpha 153.92
_cell_angle_beta 138.99
_cell_angle_gamma 49.25
loop_
_atom_site_label
_atom_site_type_symbol
_atom_site_fract_x
_atom_site_fract_y
_atom_site_fract_z
_atom_site_occupancy
Cl1 Cl 0.059 0.059 0.000 1
Cl2 Cl 0.352 0.852 0.500 1
Al1 Al 0.478 0.478 0.000 1
As1 As 0.612 0.112 0.500 1
```

=====

Material: Sr2CeCdS5
Method: DFT, PBE
State: optimized geometry

Properties
Space group: Cmc2_1
Formation energy without anion corrections in meV per atom: -1659
Total energy in eV per atom: -5.087
V in Å³/cell: 456.3

```
data_Sr2CeCdS5
_chemical_formula_sum 'Sr4 Ce2 Cd2 S10'
_symmetry_space_group_name_H-M 'P 1'
_symmetry_Int_Tables_number 1
_symmetry_space_group_name_Hall 'P 1'
_cell_length_a 4.142
_cell_length_b 8.929
_cell_length_c 12.683
_cell_angle_alpha 90.00
_cell_angle_beta 90.00
_cell_angle_gamma 103.41
loop_
_atom_site_label
_atom_site_type_symbol
_atom_site_fract_x
_atom_site_fract_y
_atom_site_fract_z
_atom_site_occupancy
Sr1 Sr 0.874 0.747 0.807 1
S1 S 0.503 0.006 0.270 1
S2 S 0.497 0.994 0.770 1
Cd1 Cd 0.539 0.077 0.955 1
Sr2 Sr 0.104 0.207 0.679 1
S3 S 0.719 0.438 0.159 1
Ce1 Ce 0.213 0.427 0.015 1
Cd2 Cd 0.461 0.923 0.455 1
S4 S 0.697 0.394 0.874 1
S5 S 0.633 0.266 0.500 1
S6 S 0.281 0.562 0.659 1
S7 S 0.940 0.881 0.565 1
S8 S 0.367 0.734 0.000 1
Ce2 Ce 0.787 0.573 0.515 1
S9 S 0.303 0.606 0.374 1
Sr3 Sr 0.896 0.793 0.179 1
Sr4 Sr 0.126 0.253 0.307 1
S10 S 0.060 0.119 0.065 1
```